First-principles (PBE) data for a geometry-optimized TbZr2Ga6 structure, as listed in Alexandria.

Properties
SG = P6/mmm
E_form = -0.53 eV/atom
energy = -44.63 eV/cell

a b c (Å): 3.776 7.217 7.217
angles (deg): 120.00 90.00 90.00
Atoms (fractional coordinates):
Ga1 0.500 0.664 0.664
Ga2 0.500 0.000 0.336
Zr1 0.000 0.667 0.333
Ga3 0.500 0.336 0.000
Ga4 0.500 0.664 0.000
Zr2 0.000 0.333 0.667
Tb1 0.000 0.000 0.000
Ga5 0.500 0.000 0.664
Ga6 0.500 0.336 0.336